1.
Ni2RuAu (GGA-PBE, optimized geometry); distance to the lowest polymorph of the same formula = 0.032 eV/atom; calculated formation energy = 168.5 meV per atom; crystal system = orthorhombic; DOS(E_F) = 1.2822 states/eV/atom; calculated density = 12.767 g/cm³; DFT total energy = -5.86 eV/atom; magnetization = 0.0 Bohr magnetons per cell
1.0
2.728 0.000 0.000
0.000 3.552 0.000
0.000 0.000 5.577
Ni Ru Au
2 1 1
direct
0.000 0.000 0.222
0.000 0.000 0.778
0.500 0.500 0.000
0.500 0.500 0.500


2.
Ni2RuAu (GGA-PBE, optimized geometry); distance to the lowest polymorph of the same formula = 0.128 eV/atom; calculated formation energy = 264.7 meV per atom; crystal system = tetragonal; DOS(E_F) = 1.1269 states/eV/atom; calculated density = 12.656 g/cm³; DFT total energy = -5.76 eV/atom; magnetization = 2.6 Bohr magnetons per cell
1.0
-1.855 1.855 3.959
1.855 -1.855 3.959
1.855 1.855 -3.959
Ni Ru Au
2 1 1
direct
0.000 0.000 0.000
0.750 0.250 0.500
0.250 0.750 0.500
0.500 0.500 0.000


3.
NiRuAu (GGA-PBE, optimized geometry); distance to the lowest polymorph of the same formula = 0.145 eV/atom; calculated formation energy = 266.1 meV per atom; crystal system = trigonal; DOS(E_F) = 1.2370 states/eV/atom; calculated density = 13.634 g/cm³; DFT total energy = -5.85 eV/atom; magnetization = 0.0 Bohr magnetons per cell
1.0
2.751 0.000 0.000
-1.375 2.382 0.000
0.000 0.000 6.631
Ni Ru Au
1 1 1
direct
0.000 0.000 0.000
0.667 0.333 0.293
0.333 0.667 0.661